VASP calculation (PBE) on a geometry-optimized MnSe2N2 structure.

Lattice parameters (Å, degrees): 3.6318 3.6318 5.6153 90.00 90.00 90.00
Element x y z (fractional)
1 Mn 0.0000 0.0000 0.0000
2 Se 0.0000 0.0000 0.5000
3 Se 0.5000 0.5000 0.5000
4 N 0.0000 0.5000 0.0000
5 N 0.5000 0.0000 0.0000

Values from the calculation:
**Uncorrected energy**: -5.848 eV per atom
**Total magnetization**: 0.002 μB/f.u.
**Space group**: No. 123
**Crystal system**: tetragonal
**Offset from the most stable computed form**: 983.9 meV/atom
**E_form (uncorrected)**: 0.710 eV/atom


VASP calculation (PBE) on a geometry-optimized Sc4IrAu3 structure.

Lattice parameters (Å, degrees): 3.3528 3.3528 13.5579 90.00 90.00 90.00
Element x y z (fractional)
1 Sc 0.0000 0.0000 0.1139
2 Sc 0.0000 0.0000 0.3706
3 Sc 0.0000 0.0000 0.6294
4 Sc 0.0000 0.0000 0.8861
5 Ir 0.5000 0.5000 0.0000
6 Au 0.5000 0.5000 0.2453
7 Au 0.5000 0.5000 0.5000
8 Au 0.5000 0.5000 0.7547

Values from the calculation:
**DFT formation energy**: -81.6 kJ/mol of atoms
**Uncorrected energy**: -6.349 eV per atom
**Total magnetization**: 0.000 μB/f.u.
**Space group**: No. 123
**Crystal system**: tetragonal


VASP calculation (PBE) on a geometry-optimized RbScCoSe2 structure.

Lattice parameters (Å, degrees): 5.0973 5.0973 8.2460 90.00 90.00 90.00
Element x y z (fractional)
1 Rb 0.0000 0.0000 0.0000
2 Sc 0.0000 0.0000 0.5000
3 Co 0.5000 0.5000 0.0000
4 Se 0.0000 0.5000 0.5000
5 Se 0.5000 0.0000 0.5000

Values from the calculation:
**Uncorrected energy**: -4.041 eV per atom
**Total magnetization**: 2.426 μB/f.u.
**Space group**: No. 123
**Crystal system**: tetragonal
**E_form (uncorrected)**: 0.234 eV/atom


VASP calculation (PBE) on a geometry-optimized ScCdGe structure.

Lattice parameters (Å, degrees): 11.7444 4.2320 5.6698 90.00 118.77 90.00
Element x y z (fractional)
1 Sc 0.1972 0.0000 0.1982
2 Sc 0.3028 0.5000 0.8018
3 Sc 0.6972 0.5000 0.1982
4 Sc 0.8028 0.0000 0.8018
5 Cd 0.9998 0.5000 0.2422
6 Cd 0.0002 0.5000 0.7578
7 Cd 0.4998 0.0000 0.2422
8 Cd 0.5002 0.0000 0.7578
9 Ge 0.1428 0.0000 0.6443
10 Ge 0.3572 0.5000 0.3557
11 Ge 0.6428 0.5000 0.6443
12 Ge 0.8572 0.0000 0.3557

Values from the calculation:
**DFT formation energy**: -36.1 kJ/mol of atoms
**Uncorrected energy**: -4.329 eV per atom
**Total magnetization**: 0.000 μB/f.u.
**Space group**: No. 12
**Crystal system**: monoclinic


VASP calculation (PBE) on a geometry-optimized Nd9Y4Mg11 structure.

Lattice parameters (Å, degrees): 14.2304 14.2304 3.7046 90.00 90.00 109.60
Element x y z (fractional)
1 Nd 0.0000 0.0000 0.0000
2 Nd 0.1249 0.6471 0.0000
3 Nd 0.2919 0.4660 0.0000
4 Nd 0.3529 0.8751 0.0000
5 Nd 0.4660 0.2919 0.0000
6 Nd 0.5340 0.7081 0.0000
7 Nd 0.6471 0.1249 0.0000
8 Nd 0.7081 0.5340 0.0000
9 Nd 0.8751 0.3529 0.0000
10 Y 0.0679 0.2459 0.0000
11 Y 0.2459 0.0679 0.0000
12 Y 0.7541 0.9321 0.0000
13 Y 0.9321 0.7541 0.0000
14 Mg 0.0864 0.4407 0.5000
15 Mg 0.1373 0.8627 0.5000
16 Mg 0.2611 0.2611 0.5000
17 Mg 0.3294 0.6706 0.5000
18 Mg 0.4407 0.0864 0.5000
19 Mg 0.5000 0.5000 0.5000
20 Mg 0.5593 0.9136 0.5000
21 Mg 0.6706 0.3294 0.5000
22 Mg 0.7389 0.7389 0.5000
23 Mg 0.8627 0.1373 0.5000
24 Mg 0.9136 0.5593 0.5000

Values from the calculation:
**DFT formation energy**: -4.8 kJ/mol of atoms
**Uncorrected energy**: -3.646 eV per atom
**Total magnetization**: 0.643 μB/f.u.
**Space group**: No. 65
**Crystal system**: orthorhombic


VASP calculation (PBE) on a geometry-optimized LaSiRh2 structure.

Lattice parameters (Å, degrees): 6.6740 6.6740 6.6740 90.00 90.00 90.00
Element x y z (fractional)
1 La 0.0000 0.0000 0.0000
2 La 0.0000 0.5000 0.5000
3 La 0.5000 0.0000 0.5000
4 La 0.5000 0.5000 0.0000
5 Si 0.2500 0.2500 0.2500
6 Si 0.2500 0.7500 0.7500
7 Si 0.7500 0.2500 0.7500
8 Si 0.7500 0.7500 0.2500
9 Rh 0.0000 0.0000 0.5000
10 Rh 0.0000 0.5000 0.0000
11 Rh 0.2500 0.2500 0.7500
12 Rh 0.2500 0.7500 0.2500
13 Rh 0.5000 0.0000 0.0000
14 Rh 0.5000 0.5000 0.5000
15 Rh 0.7500 0.2500 0.2500
16 Rh 0.7500 0.7500 0.7500

Values from the calculation:
**Uncorrected energy**: -6.386 eV per atom
**Total magnetization**: 0.000 μB/f.u.
**Space group**: No. 216
**Crystal system**: cubic
**E_form (uncorrected)**: -0.122 eV/atom


VASP calculation (PBE) on a geometry-optimized Nd5SmHoEr2 structure.

Lattice parameters (Å, degrees): 10.5937 10.5937 10.7406 90.00 90.00 149.05
Element x y z (fractional)
1 Nd 0.0160 0.9840 0.5000
2 Nd 0.2808 0.7192 0.7898
3 Nd 0.2968 0.7032 0.1844
4 Nd 0.3888 0.6112 0.5035
5 Nd 0.4811 0.5189 0.2228
6 Nd 0.5189 0.4811 0.7228
7 Nd 0.6112 0.3888 0.0035
8 Nd 0.7032 0.2968 0.6844
9 Nd 0.7192 0.2808 0.2898
10 Nd 0.9840 0.0160 0.0000
11 Sm 0.2000 0.8000 0.4897
12 Sm 0.8000 0.2000 0.9897
13 Ho 0.4096 0.5904 0.9395
14 Ho 0.5904 0.4096 0.4395
15 Er 0.1108 0.8892 0.2190
16 Er 0.1155 0.8845 0.7931
17 Er 0.8845 0.1155 0.2931
18 Er 0.8892 0.1108 0.7190

Values from the calculation:
**DFT formation energy**: 14.0 kJ/mol of atoms
**Uncorrected energy**: -4.550 eV per atom
**Total magnetization**: 0.000 μB/f.u.
**Space group**: No. 36
**Crystal system**: orthorhombic


VASP calculation (PBE) on a geometry-optimized Er12In3Hg structure.

Lattice parameters (Å, degrees): 4.7925 4.7925 19.1841 90.00 90.00 90.00
Element x y z (fractional)
1 Er 0.0000 0.0000 0.0000
2 Er 0.0000 0.0000 0.2491
3 Er 0.0000 0.0000 0.5000
4 Er 0.0000 0.0000 0.7509
5 Er 0.0000 0.5000 0.1238
6 Er 0.0000 0.5000 0.3749
7 Er 0.0000 0.5000 0.6251
8 Er 0.0000 0.5000 0.8762
9 Er 0.5000 0.0000 0.1238
10 Er 0.5000 0.0000 0.3749
11 Er 0.5000 0.0000 0.6251
12 Er 0.5000 0.0000 0.8762
13 In 0.5000 0.5000 0.2489
14 In 0.5000 0.5000 0.5000
15 In 0.5000 0.5000 0.7511
16 Hg 0.5000 0.5000 0.0000

Values from the calculation:
**DFT formation energy**: -22.5 kJ/mol of atoms
**Uncorrected energy**: -4.188 eV per atom
**Total magnetization**: 0.009 μB/f.u.
**Space group**: No. 123
**Crystal system**: tetragonal